Record 1
{
  "formula": "V2CrTc",
  "functional": "GGA-PBE",
  "state": "optimized geometry",
  "formation_enthalpy_0k_ev_per_fu": -0.985,
  "mass_density_g_cm3": 8.0,
  "magmom_total_mub_per_cell": 0.0,
  "cell": [[0.000, 2.973, 2.973], [2.973, 0.000, 2.973], [2.973, 2.973, 0.000]],
  "species": ["V", "Tc", "Cr", "V"],
  "fractional_positions": [[0.750, 0.750, 0.750], [0.500, 0.500, 0.500], [0.000, 0.000, 0.000], [0.250, 0.250, 0.250]]
}

***

Record 2
{
  "formula": "VCr2Tc",
  "functional": "GGA-PBE",
  "state": "optimized geometry",
  "formation_enthalpy_0k_ev_per_fu": -0.392,
  "mass_density_g_cm3": 8.2,
  "magmom_total_mub_per_cell": 0.0,
  "cell": [[-1.888, 1.793, 3.251], [0.378, -1.658, 3.802], [2.260, 1.948, 2.906]],
  "species": ["Cr", "Cr", "Tc", "V"],
  "fractional_positions": [[0.250, 0.250, 0.250], [0.750, 0.750, 0.750], [0.500, 0.500, 0.500], [0.000, 0.000, 0.000]]
}

***

Record 3
{
  "formula": "VCr6Tc2",
  "functional": "GGA-PBE",
  "state": "optimized geometry",
  "formation_enthalpy_0k_ev_per_fu": -0.333,
  "mass_density_g_cm3": 8.3,
  "magmom_total_mub_per_cell": 0.0,
  "cell": [[-0.561, -1.607, -2.380], [-2.670, -3.812, 1.405], [-8.127, 2.391, -1.496]],
  "species": ["Cr", "V", "Cr", "Tc", "Cr", "Cr", "Cr", "Tc", "Cr"],
  "fractional_positions": [[0.336, 0.440, 0.889], [0.000, 0.000, 0.000], [0.997, 0.343, 0.663], [0.669, 0.887, 0.775], [0.337, 0.774, 0.551], [0.664, 0.560, 0.111], [0.663, 0.226, 0.449], [0.331, 0.113, 0.225], [0.003, 0.657, 0.337]]
}

***

Record 4
{
  "formula": "VCr4Tc5",
  "functional": "GGA-PBE",
  "state": "optimized geometry",
  "formation_enthalpy_0k_ev_per_fu": -0.171,
  "mass_density_g_cm3": 9.3,
  "magmom_total_mub_per_cell": 0.2,
  "cell": [[-0.574, 1.889, 2.239], [-2.576, 0.761, -1.303], [-6.983, -10.924, 7.426]],
  "species": ["Tc", "Cr", "Cr", "Tc", "Cr", "Tc", "Tc", "V", "Tc", "Cr"],
  "fractional_positions": [[0.500, 0.500, 0.302], [0.000, 0.000, 0.400], [0.000, 0.000, 0.799], [0.500, 0.500, 0.698], [0.000, 0.000, 0.201], [0.500, 0.500, 0.899], [0.500, 0.500, 0.500], [0.000, 0.000, 0.000], [0.500, 0.500, 0.101], [0.000, 0.000, 0.600]]
}